Below is a geometry-optimized TaFe2As structure, with properties calculated at the GGA-PBE level.

Structure (POSCAR):
```
TaFe2As
1.0
-1.679 4.575 -6.471
-4.297 4.544 -5.149
-2.254 6.476 -4.313
Fe Ta As
2 1 1
direct
0.257 0.257 0.257
0.998 0.998 0.998
0.502 0.502 0.502
0.742 0.742 0.742
```

Properties
Total DFT energy (no corrections) (eV/atom): -8.14